(1)
VASP calculation (meta-GGA SCAN) on Cd2HgTe at its PBEsol-relaxed geometry.

Polymorph energy (0 for the lowest one): 166 meV/atom
E_tot: -41.49 eV per atom
E_form (uncorrected): 71 meV/atom

Cell: 3.3805 3.3805 8.7414 Å, 90.00 90.00 103.73°
Positions (direct):
Cd  0.0000  0.0000  0.2332
Cd  0.0000  0.0000  0.7668
Hg  0.5000  0.5000  0.0000
Te  0.5000  0.5000  0.5000



(2)
VASP calculation (meta-GGA SCAN) on ZrTlSb3 at its PBEsol-relaxed geometry.

E_tot: -41.87 eV per atom
E_form (uncorrected): 1102 meV/atom

Cell: 5.4335 5.4335 5.4335 Å, 90.00 90.00 90.00°
Positions (direct):
Zr  0.0000  0.0000  0.0000
Tl  0.5000  0.5000  0.5000
Sb  0.0000  0.5000  0.5000
Sb  0.5000  0.0000  0.5000
Sb  0.5000  0.5000  0.0000



(3)
VASP calculation (meta-GGA SCAN) on Ho4InNi2Ge4 at its PBEsol-relaxed geometry.

E_tot: -31.61 eV per atom

Cell: 7.8872 7.8872 6.9150 Å, 108.04 108.04 30.67°
Positions (direct):
Ho  0.0918  0.0918  0.3920
Ho  0.1561  0.1561  0.9389
Ho  0.8439  0.8439  0.0611
Ho  0.9082  0.9082  0.6080
In  0.5000  0.5000  0.0000
Ni  0.2835  0.2835  0.3543
Ni  0.7165  0.7165  0.6457
Ge  0.2960  0.2960  0.7260
Ge  0.4349  0.4349  0.3362
Ge  0.5651  0.5651  0.6638
Ge  0.7040  0.7040  0.2740



(4)
VASP calculation (meta-GGA SCAN) on ZnSiHg2 at its PBEsol-relaxed geometry.

Polymorph energy (0 for the lowest one): 110 meV/atom
E_tot: -39.51 eV per atom
E_form (uncorrected): 451 meV/atom

Cell: 5.3192 5.3192 3.2280 Å, 104.34 104.34 107.76°
Positions (direct):
Zn  0.0000  0.0000  0.0000
Si  0.5000  0.5000  0.0000
Hg  0.0000  0.5000  0.5000
Hg  0.5000  0.0000  0.5000



(5)
VASP calculation (meta-GGA SCAN) on TcTePd2Pt at its PBEsol-relaxed geometry.

E_tot: -40.58 eV per atom
E_form (uncorrected): 1035 meV/atom

Cell: 4.8723 4.8723 4.5918 Å, 90.00 90.00 90.00°
Positions (direct):
Tc  0.0000  0.0000  0.0000
Te  0.5000  0.5000  0.0000
Pd  0.0000  0.5000  0.5000
Pd  0.5000  0.0000  0.5000
Pt  0.0000  0.0000  0.5000



(6)
VASP calculation (meta-GGA SCAN) on LiIn2Sb at its PBEsol-relaxed geometry.

E_tot: -26.74 eV per atom
E_form (uncorrected): -135 meV/atom

Cell: 3.3012 4.4414 6.4570 Å, 90.00 90.00 90.00°
Positions (direct):
Li  0.0000  0.0000  0.0000
In  0.0000  0.0000  0.4829
In  0.5000  0.5000  0.7247
Sb  0.5000  0.5000  0.1900



(7)
VASP calculation (meta-GGA SCAN) on AlAg3 at its PBEsol-relaxed geometry.

E_tot: -25.48 eV per atom

Cell: 2.8423 2.8423 9.1747 Å, 90.00 90.00 117.40°
Positions (direct):
Al  0.0000  0.0000  0.0000
Ag  0.0000  0.0000  0.5000
Ag  0.5000  0.5000  0.2403
Ag  0.5000  0.5000  0.7597



(8)
VASP calculation (meta-GGA SCAN) on HfMnFeAg2 at its PBEsol-relaxed geometry.

E_tot: -31.27 eV per atom

Cell: 4.7304 4.7304 3.9260 Å, 90.00 90.00 90.00°
Positions (direct):
Hf  0.0000  0.0000  0.0000
Mn  0.5000  0.5000  0.5000
Fe  0.5000  0.5000  0.0000
Ag  0.0000  0.5000  0.5000
Ag  0.5000  0.0000  0.5000



| no. | DOS(E_F) (states/eV/f.u.) |
| --- | --- |
| 1 | 1.56 |
| 2 | 4.55 |
| 3 | 3.47 |
| 4 | 1.35 |
| 5 | 4.06 |
| 6 | 1.50 |
| 7 | 0.93 |
| 8 | 4.81 |